4
Lattice="-2.8856 3.5011 0.0217 -2.8599 0.5611 3.4772 0.6121 3.4262 2.9106" Properties=species:S:1:pos:R:3 comment="AlIr2Br (GGA-PBE, relaxed)" raw_formation_energy_mev_per_atom=724 final_energy_ev_per_atom=-5.060 spacegroup=F-43m pbc="T T T"
Ir 0.0000 0.0000 0.0000
Ir -1.2834 1.8721 1.6024
Al -2.5667 3.7442 3.2047
Br -3.8501 5.6162 4.8071